Entry from Alexandria: a geometry-optimized CoAu2O structure (PBE+U).

Values from the calculation:
**Calculated volume**: 15.20 Å³/atom
**Total moment**: 0.6744 μB per atom
**Symmetry**: I-42d
**Total DFT energy (no corrections)**: -3.55 eV per atom
**DOS(E_F)**: 1.7730 states/eV per atom
**Theoretical density**: 12.81 g/cm³

Lattice parameters (Å, degrees): 6.830 6.830 5.212 90.00 90.00 90.00
Fractional coordinates of all 16 atoms:
Co: 0.000 0.000 0.000
Co: 0.000 0.500 0.250
Co: 0.500 0.000 0.750
Co: 0.500 0.500 0.500
Au: 0.215 0.250 0.625
Au: 0.250 0.715 0.875
Au: 0.250 0.785 0.375
Au: 0.285 0.250 0.125
Au: 0.715 0.750 0.125
Au: 0.750 0.215 0.375
Au: 0.750 0.285 0.875
Au: 0.785 0.750 0.625
O: 0.000 0.000 0.500
O: 0.000 0.500 0.750
O: 0.500 0.000 0.250
O: 0.500 0.500 0.000